First-principles (PBE-GGA) data for a relaxed structure of LiTb2TmHg4, as listed in Alexandria.

Structure (POSCAR):
```
LiTb2TmHg4
1.0
-4.693 -1.895 0.926
-0.924 -5.019 -0.659
0.308 -3.765 8.150
Hg Tb Li Tm
4 2 1 1
direct
0.625 0.625 0.126 Hg
0.375 0.375 0.874 Hg
0.125 0.125 0.624 Hg
0.875 0.875 0.376 Hg
0.246 0.246 0.262 Tb
0.754 0.754 0.738 Tb
0.500 0.500 0.500 Li
0.000 0.000 0.000 Tm
```

Calculated values
Symmetry: R-3m, No. 166
DOS(E_F) in states/eV per cell: 6.44
VASP energy in eV per atom: -2.57